LiZr2AlN | GGA-PBE | relaxed

Geometry as extended XYZ:
```
5
Lattice="-2.072 -3.620 -1.573 -0.551 -1.493 4.164 -3.575 1.949 0.226" Properties=species:S:1:pos:R:3 pbc="T T T"
Al -3.099 -1.582 1.408
Li -1.788 0.974 0.113
N 0.000 0.000 0.000
Zr -0.276 -0.747 2.082
Zr -1.036 -1.810 -0.786
```

Results
DOS(E_F) = 0.47 states/eV/atom
raw formation energy = -0.77 eV/atom
space group = No. 123
crystal system = tetragonal
energy above the most stable polymorph in this dataset = 0 meV per atom
total magnetic moment = 0.000 μB per formula unit

=====

K3Sb2Br9 | GGA-PBE | relaxed

Geometry as extended XYZ:
```
28
Lattice="-4.476 5.358 7.568 1.902 -6.579 7.689 8.464 4.560 3.686" Properties=species:S:1:pos:R:3 pbc="T T T"
Br 3.484 3.348 7.136
Br 3.606 -0.640 7.801
Br 2.264 7.755 10.299
Sb 2.042 1.158 6.568
Br 3.698 0.698 4.068
K 6.969 0.748 6.603
Sb 3.848 2.181 12.376
K 0.535 5.722 7.726
Sb 4.987 2.827 16.039
K -1.079 2.591 12.341
Br 8.827 -0.212 9.663
Br 3.626 -4.416 8.644
Br 5.693 1.916 10.446
Br 5.514 0.451 14.228
K -0.142 -2.297 9.350
Br 2.284 3.979 11.142
Br -0.860 -1.743 12.945
Sb 0.903 0.512 2.904
Br 2.406 -0.009 11.807
Br 0.344 -1.081 5.425
Br 2.191 2.641 14.875
Br 0.375 2.888 4.715
Br 0.197 1.423 8.498
K 6.032 5.636 9.593
Br -2.938 3.551 9.281
K 5.354 -2.383 11.217
Br 6.750 5.082 5.999
Br 5.546 4.420 13.519
```

Results
DOS(E_F) = 0.00 states/eV/atom
raw formation energy = -1.09 eV/atom
space group = No. 167
crystal system = trigonal
total magnetic moment = 0.000 μB per formula unit